Compound: MgPaRhAu
Source: the Alexandria database
Functional: PBE
Structure: optimized geometry

Output
Energy of formation ... -0.488 eV/atom

a b c (Å): 4.8349 4.8349 4.8349
angles (deg): 60.00 60.00 60.00
Fractional coordinates of all 4 atoms:
Mg 0.0000 0.0000 0.0000
Pa 0.5000 0.5000 0.5000
Rh 0.7500 0.7500 0.7500
Au 0.2500 0.2500 0.2500